1.
Density functional theory data (PBE) for crystalline Ho2PuCrN5 at its relaxed geometry.

Lattice parameters (Å, degrees): 3.3556 6.9805 10.0242 90.00 90.00 103.91
Atoms (fractional coordinates):
Pu  0.2091  0.4182  0.0093
Pu  0.7909  0.5818  0.5093
N  0.3756  0.7513  0.0048
N  0.3186  0.6371  0.3736
N  0.6244  0.2487  0.5048
N  0.4913  0.9826  0.7844
N  0.6814  0.3629  0.8736
N  0.0430  0.0860  0.0390
N  0.5087  0.0174  0.2844
N  0.7157  0.4315  0.1565
N  0.9570  0.9140  0.5390
N  0.2843  0.5685  0.6565
Ho  0.8661  0.7321  0.8019
Ho  0.1067  0.2135  0.6918
Ho  0.8933  0.7865  0.1918
Ho  0.1339  0.2679  0.3019
Cr  0.5138  0.0276  0.9628
Cr  0.4862  0.9724  0.4628

Space group ... No. 36
Uncorrected formation energy ... -1.126 eV per atom
Raw total energy ... -9.430 eV per atom

---

2.
Density functional theory data (PBE) for crystalline Mn8Nb3Zn at its relaxed geometry.

Lattice parameters (Å, degrees): 4.7964 4.7964 8.3206 73.25 73.25 60.00
Atoms (fractional coordinates):
Nb  0.3755  0.3755  0.8736
Nb  0.5025  0.5025  0.4926
Nb  0.9967  0.9967  0.0098
Mn  0.9379  0.4365  0.1891
Mn  0.4365  0.4365  0.1891
Mn  0.4409  0.9370  0.6852
Mn  0.9370  0.4409  0.6852
Mn  0.1874  0.1874  0.4379
Mn  0.6877  0.6877  0.9369
Mn  0.4365  0.9379  0.1891
Mn  0.9370  0.9370  0.6852
Zn  0.8745  0.8745  0.3765

Energy of formation ... -0.09 eV/atom
Space group ... No. 160
Raw total energy ... -8.824 eV per atom

---

3.
Density functional theory data (PBE) for crystalline Mn2CuP at its relaxed geometry.

Lattice parameters (Å, degrees): 6.4499 6.4499 5.1952 51.63 51.63 90.00
Atoms (fractional coordinates):
P  0.5000  0.5000  0.0000
P  0.2500  0.7500  0.5000
Cu  0.0000  0.0000  0.0000
Cu  0.7500  0.2500  0.5000
Mn  0.8750  0.8423  0.7500
Mn  0.5923  0.1250  0.2500
Mn  0.1577  0.6250  0.2500
Mn  0.3750  0.4077  0.7500

Energy of formation ... 0.14 eV/atom
Space group ... No. 122
Raw total energy ... -6.824 eV per atom

---

4.
Density functional theory data (PBE) for crystalline Pb2WSe at its relaxed geometry.

Lattice parameters (Å, degrees): 4.6821 3.8651 5.6174 70.15 90.00 90.00
Atoms (fractional coordinates):
Se  0.0000  0.6740  0.5241
W  0.5000  0.5757  0.7278
Pb  0.0000  0.9628  0.9515
Pb  0.5000  0.2875  0.2966

Space group ... No. 6
Uncorrected formation energy ... 0.536 eV per atom
Raw total energy ... -5.428 eV per atom

---

5.
Density functional theory data (PBE) for crystalline Ho2PaSi3Pt4 at its relaxed geometry.

Lattice parameters (Å, degrees): 4.1961 4.1961 11.0122 90.00 90.00 90.00
Atoms (fractional coordinates):
Si  0.0000  0.5000  0.1207
Si  0.5000  0.0000  0.8793
Si  0.0000  0.0000  0.5000
Pa  0.5000  0.5000  0.5000
Pt  0.0000  0.5000  0.3350
Pt  0.5000  0.5000  0.0000
Pt  0.0000  0.0000  0.0000
Pt  0.5000  0.0000  0.6650
Ho  0.5000  0.0000  0.2193
Ho  0.0000  0.5000  0.7807

Space group ... No. 115
Uncorrected formation energy ... -0.958 eV per atom
Raw total energy ... -6.867 eV per atom